# 1
The following is a GGA-PBE calculation of a geometry-optimized TmCoC structure, from Alexandria.

```
TmCoC
1.0
3.841 0.000 0.000
0.000 3.435 0.000
0.000 -1.718 2.975
C Co Tm
1 1 1
direct
0.167 0.000 0.000
0.167 0.333 0.667
0.667 0.667 0.333
```

Results
* ΔH_f (0 K): -0.147 eV per atom
* calculated volume: 13.087 A^3/atom
* electronic total energy: -7.081 eV per atom
* density of states at the Fermi level: 2.765 states/eV/f.u.



# 2
The following is a GGA-PBE calculation of a geometry-optimized YSbPt2 structure, from Alexandria.

```
YSbPt2
1.0
5.399 -0.002 0.000
2.092 4.977 0.000
-3.746 -2.488 2.988
Y Pt Sb
1 2 1
direct
0.750 0.250 0.500
0.250 0.750 0.500
0.000 0.000 0.000
0.500 0.500 0.000
```

Results
* uncorrected formation energy: -0.73 eV/atom
* calculated volume: 20.079 A^3/atom
* electronic total energy: -6.401 eV per atom
* density of states at the Fermi level: 1.403 states/eV/f.u.



# 3
The following is a GGA-PBE calculation of a geometry-optimized Ti3CoAs2 structure, from Alexandria.

```
Ti3CoAs2
1.0
3.651 0.000 0.000
0.000 9.931 0.000
0.000 0.000 10.248
Co Ti As
4 12 8
direct
0.750 0.871 0.875
0.250 0.129 0.125
0.750 0.629 0.375
0.250 0.371 0.625
0.750 0.220 0.267
0.750 0.280 0.767
0.250 0.116 0.549
0.250 0.444 0.376
0.250 0.384 0.049
0.250 0.780 0.733
0.750 0.556 0.624
0.750 0.616 0.951
0.250 0.720 0.233
0.250 0.056 0.876
0.750 0.944 0.124
0.750 0.884 0.451
0.250 0.696 0.496
0.750 0.196 0.004
0.250 0.001 0.313
0.250 0.804 0.996
0.750 0.304 0.504
0.750 0.999 0.687
0.250 0.499 0.813
0.750 0.501 0.187
```

Results
* ΔH_f (0 K): -0.734 eV per atom
* calculated volume: 15.482 A^3/atom
* electronic total energy: -7.415 eV per atom
* density of states at the Fermi level: 4.926 states/eV/f.u.



# 4
The following is a GGA-PBE calculation of a geometry-optimized SrTlTe2Ru structure, from Alexandria.

```
SrTlTe2Ru
1.0
6.094 0.000 0.000
0.000 6.055 0.000
0.000 0.000 6.094
Ru Sr Te Tl
1 1 2 1
direct
0.500 0.500 0.500
0.000 0.000 0.000
0.000 0.000 0.500
0.500 0.000 0.000
0.000 0.500 0.000
```

Results
* uncorrected formation energy: 1.04 eV/atom
* calculated volume: 44.964 A^3/atom
* electronic total energy: -2.881 eV per atom
* density of states at the Fermi level: 3.261 states/eV/f.u.



# 5
The following is a GGA-PBE calculation of a geometry-optimized HfMg2Sc structure, from Alexandria.

```
HfMg2Sc
1.0
3.166 0.000 0.000
1.583 2.742 0.000
1.583 0.914 10.540
Sc Mg Hf
1 2 1
direct
0.500 0.500 0.500
0.251 0.251 0.248
0.749 0.749 0.752
0.000 0.000 0.000
```

Results
* ΔH_f (0 K): 0.088 eV per atom
* calculated volume: 22.877 A^3/atom
* electronic total energy: -4.781 eV per atom
* density of states at the Fermi level: 3.456 states/eV/f.u.



# 6
The following is a GGA-PBE calculation of a geometry-optimized Y4TlRu structure, from Alexandria.

```
Y4TlRu
1.0
5.045 0.000 0.000
2.523 4.373 0.255
2.523 0.995 8.124
Tl Y Ru
1 4 1
direct
0.500 0.500 0.500
0.365 0.365 0.905
0.114 0.112 0.660
0.886 0.888 0.340
0.635 0.635 0.095
0.000 0.000 0.000
```

Results
* ΔH_f (0 K): -0.198 eV per atom
* calculated volume: 29.658 A^3/atom
* electronic total energy: -6.448 eV per atom
* density of states at the Fermi level: 4.879 states/eV/f.u.



# 7
The following is a GGA-PBE calculation of a geometry-optimized InGa2Pb structure, from Alexandria.

```
InGa2Pb
1.0
4.441 0.000 0.000
0.000 4.441 0.000
2.220 2.220 10.492
Pb In Ga
2 2 4
direct
0.750 0.250 0.500
0.000 0.000 0.000
0.250 0.750 0.500
0.500 0.500 0.000
0.875 0.848 0.750
0.375 0.402 0.750
0.598 0.125 0.250
0.152 0.625 0.250
```

Results
* ΔH_f (0 K): 0.146 eV per atom
* calculated volume: 25.863 A^3/atom
* electronic total energy: -2.979 eV per atom
* density of states at the Fermi level: 1.902 states/eV/f.u.



# 8
The following is a GGA-PBE calculation of a geometry-optimized CaCdTeMo2 structure, from Alexandria.

```
CaCdTeMo2
1.0
4.825 0.000 0.000
0.000 5.359 0.000
0.000 0.000 4.825
Te Mo Ca Cd
1 2 1 1
direct
0.500 0.500 0.500
0.500 0.000 0.000
0.000 0.000 0.500
0.000 0.000 0.000
0.000 0.500 0.000
```

Results
* uncorrected formation energy: 2.11 eV/atom
* calculated volume: 24.946 A^3/atom
* electronic total energy: -3.438 eV per atom
* density of states at the Fermi level: 5.628 states/eV/f.u.



# 9
The following is a GGA-PBE calculation of a geometry-optimized K2LiAgCl6 structure, from Alexandria.

```
K2LiAgCl6
1.0
-0.141 -3.499 -6.772
7.275 -1.110 0.422
-1.566 -8.913 3.556
Li Cl Ag K
2 12 2 4
direct
0.500 0.000 0.000
0.000 0.500 0.500
0.906 0.548 0.238
0.814 0.744 0.948
0.310 0.761 0.037
0.810 0.739 0.537
0.594 0.048 0.262
0.686 0.244 0.552
0.186 0.256 0.052
0.190 0.261 0.463
0.406 0.952 0.738
0.690 0.239 0.963
0.094 0.452 0.762
0.314 0.756 0.448
0.500 0.000 0.500
0.000 0.500 0.000
0.015 0.967 0.269
0.515 0.533 0.769
0.485 0.467 0.231
0.985 0.033 0.731
```

Results
* uncorrected formation energy: -1.23 eV/atom
* calculated volume: 27.188 A^3/atom
* electronic total energy: -3.031 eV per atom



# 10
The following is a GGA-PBE calculation of a geometry-optimized Ti2MnNb2 structure, from Alexandria.

```
Ti2MnNb2
1.0
6.278 0.000 0.000
0.000 6.278 0.000
0.000 0.000 4.472
Ti Mn Nb
4 2 4
direct
0.659 0.841 0.500
0.841 0.341 0.500
0.341 0.159 0.500
0.159 0.659 0.500
0.500 0.500 0.000
0.000 0.000 0.000
0.156 0.344 0.000
0.844 0.656 0.000
0.656 0.156 0.000
0.344 0.844 0.000
```

Results
* ΔH_f (0 K): 0.298 eV per atom
* calculated volume: 17.625 A^3/atom
* electronic total energy: -8.722 eV per atom
* density of states at the Fermi level: 8.358 states/eV/f.u.



# 11
The following is a GGA-PBE calculation of a geometry-optimized BiBP2 structure, from Alexandria.

```
BiBP2
1.0
-0.280 -5.695 2.168
4.583 -1.627 -3.682
4.743 -2.719 2.052
Bi P B
2 4 2
direct
0.000 0.000 0.000
0.750 0.250 0.500
0.375 0.489 0.750
0.511 0.125 0.250
0.239 0.625 0.250
0.875 0.761 0.750
0.500 0.500 0.000
0.250 0.750 0.500
```

Results
* ΔH_f (0 K): 0.191 eV per atom
* calculated volume: 18.308 A^3/atom
* electronic total energy: -5.154 eV per atom
* density of states at the Fermi level: 0.558 states/eV/f.u.



# 12
The following is a GGA-PBE calculation of a geometry-optimized K2BeSnF6 structure, from Alexandria.

```
K2BeSnF6
1.0
6.367 -0.882 0.578
2.437 5.047 0.633
3.406 1.678 5.635
F Sn K Be
6 1 2 1
direct
0.446 0.538 0.866
0.412 0.228 0.326
0.196 0.072 0.195
0.748 0.958 0.812
0.065 0.541 0.691
0.030 0.514 0.260
0.830 0.821 0.546
0.130 0.008 0.834
0.532 0.642 0.325
0.273 0.341 0.160
```

Results
* uncorrected formation energy: -2.80 eV/atom
* calculated volume: 17.700 A^3/atom
* electronic total energy: -4.915 eV per atom
* density of states at the Fermi level: 0.000 states/eV/f.u.